[1]
## YTlGa2Cl6 (PBE)

Data for a relaxed YTlGa2Cl6 crystal.

Cell: 7.548 7.547 7.963 Å, 61.63 61.64 59.90°
Sites, in units of the cell vectors:
Cl 0.693 0.144 0.770
Cl 0.566 0.231 0.234
Cl 0.969 0.567 0.235
Cl 0.231 0.969 0.235
Cl 0.145 0.393 0.769
Cl 0.393 0.692 0.769
Y 0.324 0.323 0.030
Ga 0.519 0.520 0.441
Ga 0.011 0.011 0.966
Tl 0.811 0.812 0.565

Volume in Å³/f.u.: 328
Formation energy without anion corrections in eV per atom: -1.41
Magnetization in μB per atom: 0.00


[2]
## Th2ReNi (PBE)

Data for a relaxed Th2ReNi crystal.

Cell: 3.508 3.508 7.249 Å, 90.00 90.00 90.00°
Sites, in units of the cell vectors:
Ni 0.500 0.500 0.500
Re 0.500 0.500 0.000
Th 0.000 0.000 0.249
Th 0.000 0.000 0.751

Volume in Å³/f.u.: 89
Formation energy from the elements in eV/f.u.: -0.27
Magnetization in μB per atom: 0.00


Q: volume of number 1 (YTlGa2Cl6)?
A: 328 Å³/f.u.